Compound: Cs2HoCl6
Source: Alexandria via LeMat-Bulk
Functional: GGA-PBE
Structure: relaxed

Cell and atoms, written as POSCAR:
```
Cs2HoCl6
1.0
5.006 0.000 -0.015
0.000 8.295 0.000
-1.934 -4.147 7.777
Cs Ho Cl
2 1 6
direct
0.659 0.667 0.334
0.341 0.333 0.666
0.000 0.000 0.000
0.132 0.341 0.267
0.868 0.074 0.733
0.868 0.659 0.733
0.500 0.188 0.000
0.132 0.926 0.267
0.500 0.812 0.000
```

## Properties
The calculation puts the total magnetization at 0.11 μB per atom. As for the space group: C2/m, No. 12. Its formation energy (no corrections) is -16.2 eV/f.u.

Compound: CsHo2Cl7
Source: Alexandria via LeMat-Bulk
Functional: GGA-PBE
Structure: relaxed

Cell and atoms, written as POSCAR:
```
CsHo2Cl7
1.0
-3.808 -4.897 -3.226
4.239 -8.692 8.191
-11.065 2.845 8.745
Cs Ho Cl
4 8 28
direct
0.250 0.794 0.031
0.750 0.206 0.969
0.750 0.294 0.469
0.250 0.706 0.531
0.250 0.449 0.243
0.750 0.551 0.757
0.750 0.949 0.257
0.250 0.051 0.743
0.250 0.145 0.247
0.750 0.855 0.753
0.750 0.645 0.253
0.250 0.355 0.747
0.012 0.296 0.181
0.988 0.704 0.819
0.988 0.796 0.319
0.512 0.704 0.819
0.012 0.204 0.681
0.488 0.296 0.181
0.488 0.204 0.681
0.512 0.796 0.319
0.010 0.564 0.135
0.990 0.436 0.865
0.990 0.064 0.365
0.510 0.436 0.865
0.010 0.936 0.635
0.490 0.564 0.135
0.490 0.936 0.635
0.510 0.064 0.365
0.010 0.030 0.137
0.990 0.970 0.863
0.990 0.530 0.363
0.510 0.970 0.863
0.010 0.470 0.637
0.490 0.030 0.137
0.490 0.470 0.637
0.510 0.530 0.363
0.250 0.298 0.382
0.750 0.702 0.618
0.750 0.798 0.118
0.250 0.202 0.882
```

## Properties
The calculation puts the total magnetization at 0.00 μB per atom. As for the energy above the most stable polymorph in this dataset: 0 meV/atom. As for the space group: Pnma, No. 62. Its formation energy (no corrections) is -22.7 eV/f.u.

Compound: Cs4HoCl6
Source: Alexandria via LeMat-Bulk
Functional: GGA-PBE
Structure: relaxed

Cell and atoms, written as POSCAR:
```
Cs4HoCl6
1.0
10.181 0.000 0.000
0.000 10.181 0.000
0.000 0.000 10.436
Cs Ho Cl
8 2 12
direct
0.303 0.197 0.250
0.197 0.697 0.750
0.697 0.803 0.750
0.803 0.303 0.750
0.303 0.197 0.750
0.197 0.697 0.250
0.803 0.303 0.250
0.697 0.803 0.250
0.500 0.500 0.000
0.000 0.000 0.500
0.254 0.944 0.500
0.754 0.556 0.000
0.556 0.246 0.000
0.056 0.254 0.500
0.000 0.000 0.246
0.500 0.500 0.254
0.444 0.754 0.000
0.000 0.000 0.754
0.246 0.444 0.000
0.500 0.500 0.746
0.944 0.746 0.500
0.746 0.056 0.500
```

## Properties
The calculation puts the total magnetization at 0.00 μB per atom. As for the space group: P4/mnc, No. 128. Its formation energy (no corrections) is -21.2 eV/f.u.

Compound: Cs2KHoCl6
Source: Alexandria via LeMat-Bulk
Functional: GGA-PBE
Structure: relaxed

Cell and atoms, written as POSCAR:
```
Cs2KHoCl6
1.0
8.005 0.000 0.000
4.003 6.933 0.000
4.003 2.311 6.536
Cs K Ho Cl
2 1 1 6
direct
0.250 0.250 0.250
0.750 0.750 0.750
0.000 0.000 0.000
0.500 0.500 0.500
0.732 0.268 0.268
0.268 0.732 0.732
0.268 0.732 0.268
0.732 0.268 0.732
0.268 0.268 0.732
0.732 0.732 0.268
```

## Properties
The calculation puts the total magnetization at 0.00 μB per atom. As for the energy above the most stable polymorph in this dataset: 9 meV/atom. As for the space group: Fm-3m, No. 225. Its formation energy (no corrections) is -21.6 eV/f.u.

Compound: Cs2KHoCl6
Source: Alexandria via LeMat-Bulk
Functional: GGA-PBE
Structure: relaxed

Cell and atoms, written as POSCAR:
```
Cs2KHoCl6
1.0
7.918 0.000 -0.029
0.000 8.061 0.000
0.026 0.000 11.284
Cs K Ho Cl
4 2 2 12
direct
0.011 0.956 0.250
0.511 0.544 0.750
0.989 0.044 0.750
0.489 0.456 0.250
0.500 0.000 0.000
0.000 0.500 0.500
0.500 0.000 0.500
0.000 0.500 0.000
0.267 0.691 0.033
0.767 0.809 0.533
0.733 0.309 0.967
0.233 0.191 0.467
0.311 0.734 0.465
0.811 0.766 0.965
0.689 0.266 0.535
0.189 0.234 0.035
0.935 0.515 0.229
0.435 0.985 0.729
0.065 0.485 0.771
0.565 0.015 0.271
```

## Properties
The calculation puts the total magnetization at 0.00 μB per atom. As for the energy above the most stable polymorph in this dataset: 0 meV/atom. As for the space group: P2_1/c, No. 14. Its formation energy (no corrections) is -21.7 eV/f.u.

Compound: CsLiHoCl6
Source: Alexandria via LeMat-Bulk
Functional: GGA-PBE
Structure: relaxed

Cell and atoms, written as POSCAR:
```
CsLiHoCl6
1.0
7.099 0.563 0.216
4.038 5.856 -0.206
0.270 -0.455 7.715
Cs Li Ho Cl
1 1 1 6
direct
0.994 0.991 0.005
0.363 0.359 0.504
0.654 0.653 0.502
0.045 0.388 0.269
0.372 0.049 0.725
0.615 0.387 0.694
0.965 0.609 0.706
0.400 0.600 0.307
0.592 0.965 0.287
```

## Properties
The calculation puts the total magnetization at 0.12 μB per atom. As for the space group: P1, No. 1. Its formation energy (no corrections) is -16.0 eV/f.u.

Compound: Cs3Li2HoCl8
Source: Alexandria via LeMat-Bulk
Functional: GGA-PBE
Structure: relaxed

Cell and atoms, written as POSCAR:
```
Cs3Li2HoCl8
1.0
7.463 0.000 0.000
-3.732 6.463 0.000
0.000 0.000 9.776
Cs Li Ho Cl
3 2 1 8
direct
0.333 0.667 0.666
0.667 0.333 0.334
0.000 0.000 0.000
0.333 0.667 0.225
0.667 0.333 0.775
0.000 0.000 0.500
0.333 0.667 0.999
0.667 0.333 0.001
0.165 0.835 0.342
0.835 0.165 0.658
0.165 0.329 0.342
0.835 0.671 0.658
0.671 0.835 0.342
0.329 0.165 0.658
```

## Properties
The calculation puts the total magnetization at 0.00 μB per atom. As for the space group: P-3m1, No. 164. Its formation energy (no corrections) is -28.3 eV/f.u.

Compound: CsLiHoCl5
Source: Alexandria via LeMat-Bulk
Functional: GGA-PBE
Structure: relaxed

Cell and atoms, written as POSCAR:
```
CsLiHoCl5
1.0
-0.453 -7.051 -3.123
6.556 0.166 4.082
-7.302 0.056 7.047
Cs Li Ho Cl
2 2 2 10
direct
0.339 0.661 0.250
0.661 0.339 0.750
0.692 0.308 0.250
0.308 0.692 0.750
0.000 0.000 0.500
0.000 0.000 0.000
0.062 0.938 0.250
0.938 0.062 0.750
0.893 0.287 0.100
0.107 0.713 0.900
0.713 0.107 0.400
0.287 0.893 0.600
0.774 0.637 0.411
0.226 0.363 0.589
0.363 0.226 0.089
0.637 0.774 0.911
```

## Properties
The calculation puts the total magnetization at 0.00 μB per atom. As for the space group: C2/c, No. 15. Its formation energy (no corrections) is -17.0 eV/f.u.

Compound: Cs2LiHoCl6
Source: Alexandria via LeMat-Bulk
Functional: GGA-PBE
Structure: relaxed

Cell and atoms, written as POSCAR:
```
Cs2LiHoCl6
1.0
-3.762 3.912 -5.236
-3.413 -3.609 -5.675
-12.807 -0.780 3.187
Cs Li Ho Cl
4 2 2 12
direct
0.872 0.872 0.384
0.128 0.128 0.616
0.710 0.710 0.869
0.290 0.290 0.131
0.000 0.000 0.000
0.500 0.500 0.500
0.588 0.588 0.237
0.412 0.412 0.763
0.857 0.386 0.371
0.386 0.857 0.371
0.386 0.386 0.371
0.143 0.614 0.629
0.614 0.143 0.629
0.614 0.614 0.629
0.709 0.206 0.878
0.206 0.709 0.878
0.206 0.206 0.878
0.291 0.794 0.122
0.794 0.291 0.122
0.794 0.794 0.122
```

## Properties
The calculation puts the total magnetization at 0.00 μB per atom. As for the space group: R-3m, No. 166. Its formation energy (no corrections) is -21.3 eV/f.u.

Compound: CsLi2HoCl6
Source: Alexandria via LeMat-Bulk
Functional: GGA-PBE
Structure: relaxed

Cell and atoms, written as POSCAR:
```
CsLi2HoCl6
1.0
-5.711 -0.777 -3.224
-4.461 -4.350 2.186
-6.873 4.235 4.386
Cs Li Ho Cl
1 2 1 6
direct
0.816 0.816 0.551
0.646 0.645 0.064
0.987 0.987 0.039
0.316 0.316 0.051
0.593 0.260 0.224
0.260 0.924 0.224
0.924 0.593 0.224
0.373 0.709 0.879
0.709 0.040 0.879
0.040 0.373 0.879
```

## Properties
The calculation puts the total magnetization at 0.00 μB per atom. As for the space group: R-3, No. 148. Its formation energy (no corrections) is -20.7 eV/f.u.

Compound: CsHoMgCl6
Source: Alexandria via LeMat-Bulk
Functional: GGA-PBE
Structure: relaxed

Cell and atoms, written as POSCAR:
```
CsHoMgCl6
1.0
6.787 0.001 0.000
3.394 5.877 0.000
0.000 -0.001 7.818
Cs Ho Mg Cl
1 1 1 6
direct
0.000 0.000 0.000
0.333 0.333 0.500
0.667 0.667 0.500
0.989 0.384 0.310
0.384 0.989 0.690
0.627 0.385 0.690
0.989 0.627 0.690
0.385 0.627 0.310
0.627 0.989 0.310
```

## Properties
The calculation puts the total magnetization at 0.00 μB per atom. As for the space group: P312, No. 149. Its formation energy (no corrections) is -19.1 eV/f.u.

Compound: CsHoMnCl6
Source: Alexandria via LeMat-Bulk
Functional: GGA-PBE
Structure: relaxed

Cell and atoms, written as POSCAR:
```
CsHoMnCl6
1.0
6.818 0.000 0.000
3.409 5.904 0.000
0.000 0.000 7.779
Cs Ho Mn Cl
1 1 1 6
direct
0.000 0.000 0.000
0.333 0.333 0.500
0.667 0.667 0.500
0.991 0.385 0.308
0.385 0.991 0.692
0.624 0.385 0.692
0.991 0.624 0.692
0.385 0.624 0.308
0.624 0.991 0.308
```

## Properties
The calculation puts the total magnetization at 0.56 μB per atom. As for the space group: P312, No. 149. Its formation energy (no corrections) is -16.8 eV/f.u.